Entry from Alexandria via LeMat-Bulk: InFe2CoRu after structural relaxation (PBE).

Cell: 4.2724 4.2724 4.6738 Å, 90.00 90.00 90.00°
Space group P4/mmm (No. 123)
Inequivalent atoms, fractional coordinates:
In (0.0000, 0.0000, 0.0000)
Fe (0.0000, 0.5000, 0.5000)
Co (0.0000, 0.0000, 0.5000)
Ru (0.5000, 0.5000, 0.0000)

Values from the calculation:
magnetization: 8.048 μB per formula unit
ΔE_f: 1.07 eV per atom
energy: -6.1425 eV/atom
theoretical density: 7.52 Mg/m³

=====

Entry from Alexandria via LeMat-Bulk: TaInFeCo after structural relaxation (PBE).

Cell: 6.1448 6.1448 6.1448 Å, 90.00 90.00 90.00°
Space group F-43m (No. 216)
Inequivalent atoms, fractional coordinates:
Ta (0.0000, 0.0000, 0.0000)
In (0.0000, 0.0000, 0.5000)
Fe (0.2500, 0.2500, 0.7500)
Co (0.2500, 0.2500, 0.2500)

Values from the calculation:
magnetization: 1.026 μB per formula unit
ΔE_f: -0.04 eV per atom
energy: -7.5774 eV/atom
theoretical density: 11.75 Mg/m³

=====

Entry from Alexandria via LeMat-Bulk: Ti5In2Fe2Co after structural relaxation (PBE).

Cell: 10.3211 10.3211 2.9761 Å, 90.00 90.00 90.00°
Space group P4/mbm (No. 127)
Inequivalent atoms, fractional coordinates:
Ti (0.0000, 0.5000, 0.0000)
Ti (0.0655, 0.1951, 0.0000)
In (0.1743, 0.6743, 0.5000)
Fe (0.1325, 0.3675, 0.5000)
Co (0.0000, 0.0000, 0.5000)

Values from the calculation:
magnetization: 0.101 μB per formula unit
ΔE_f: -0.20 eV per atom
energy: -7.1009 eV/atom
theoretical density: 6.70 Mg/m³

=====

Entry from Alexandria via LeMat-Bulk: VInFeCo after structural relaxation (PBE).

Cell: 5.9941 5.9941 5.9941 Å, 90.00 90.00 90.00°
Space group F-43m (No. 216)
Inequivalent atoms, fractional coordinates:
V (0.0000, 0.0000, 0.0000)
In (0.0000, 0.0000, 0.5000)
Fe (0.2500, 0.2500, 0.7500)
Co (0.2500, 0.2500, 0.2500)

Values from the calculation:
magnetization: 1.066 μB per formula unit
ΔE_f: 0.08 eV per atom
energy: -6.7773 eV/atom
theoretical density: 8.65 Mg/m³

=====

> Among the records above, which one has the lowest energy?

TaInFeCo

=====

> Among the records above, which one has the lowest energy?

TaInFeCo

=====

> What is the formula in the first record?

InFe2CoRu